Entry 1:
A geometry-optimized CsLiUBr6 structure. Source: Alexandria, functional PBE. Values from VASP.

Output
As for the density of states at the Fermi level: 0.499 states/eV/atom. For the formation energy without anion corrections, the calculation gives -1.50 eV/atom.

Quantum ESPRESSO input file:
```
&SYSTEM
  ibrav = 0, nat = 18, ntyp = 4
/
ATOMIC_SPECIES
Cs 132.91 Cs.upf
Li 6.94 Li.upf
U 238.03 U.upf
Br 79.90 Br.upf
ATOMIC_POSITIONS crystal
Cs 0.000 0.000 0.000
Cs 0.000 0.000 0.500
Li 0.333 0.667 0.250
Li 0.667 0.333 0.750
U 0.333 0.667 0.750
U 0.667 0.333 0.250
Br 0.001 0.373 0.652
Br 0.001 0.628 0.848
Br 0.372 0.373 0.848
Br 0.372 0.999 0.652
Br 0.373 0.001 0.152
Br 0.373 0.372 0.348
Br 0.627 0.628 0.652
Br 0.627 0.999 0.848
Br 0.628 0.001 0.348
Br 0.628 0.627 0.152
Br 0.999 0.372 0.152
Br 0.999 0.627 0.348
CELL_PARAMETERS angstrom
7.249 0.000 0.000
-3.625 6.278 0.000
0.000 0.000 16.439
```

Entry 2:
A geometry-optimized K5Zr2Se6 structure. Source: Alexandria, functional PBE. Values from VASP.

Output
For the formation energy without anion corrections, the calculation gives -1.29 eV/atom.

Quantum ESPRESSO input file:
```
&SYSTEM
  ibrav = 0, nat = 26, ntyp = 3
/
ATOMIC_SPECIES
K 39.10 K.upf
Zr 91.22 Zr.upf
Se 78.96 Se.upf
ATOMIC_POSITIONS crystal
K 0.158 0.842 0.750
K 0.191 0.715 0.000
K 0.215 0.467 0.270
K 0.285 0.809 0.500
K 0.467 0.215 0.770
K 0.533 0.785 0.230
K 0.715 0.191 0.500
K 0.785 0.533 0.730
K 0.809 0.285 0.000
K 0.842 0.158 0.250
Zr 0.150 0.397 0.572
Zr 0.397 0.150 0.072
Zr 0.603 0.850 0.928
Zr 0.850 0.603 0.428
Se 0.115 0.164 0.643
Se 0.152 0.283 0.421
Se 0.164 0.115 0.143
Se 0.283 0.152 0.921
Se 0.427 0.471 0.628
Se 0.471 0.427 0.128
Se 0.529 0.573 0.872
Se 0.573 0.529 0.372
Se 0.717 0.848 0.079
Se 0.836 0.885 0.857
Se 0.848 0.717 0.579
Se 0.885 0.836 0.357
CELL_PARAMETERS angstrom
6.762 -4.229 0.000
6.762 4.229 0.000
-3.744 0.000 17.098
```

Entry 3:
A geometry-optimized NbSe2S2 structure. Source: Alexandria, functional PBE. Values from VASP.

Output
Its energy above the lowest structure with this stoichiometry is 504 meV per atom. As for the density of states at the Fermi level: 0.905 states/eV/atom. For the formation energy without anion corrections, the calculation gives 0.05 eV/atom.

Quantum ESPRESSO input file:
```
&SYSTEM
  ibrav = 0, nat = 5, ntyp = 3
/
ATOMIC_SPECIES
Nb 92.91 Nb.upf
Se 78.96 Se.upf
S 32.06 S.upf
ATOMIC_POSITIONS crystal
Nb 0.000 0.000 0.000
Se 0.000 0.000 0.500
Se 0.500 0.500 0.500
S 0.000 0.500 0.000
S 0.500 0.000 0.000
CELL_PARAMETERS angstrom
4.671 0.000 0.000
0.000 4.671 0.000
0.000 0.000 5.418
```

Entry 4:
A geometry-optimized Ho5Cd4Ru structure. Source: Alexandria, functional PBE. Values from VASP.

Output
As for the density of states at the Fermi level: 0.740 states/eV/atom.

Quantum ESPRESSO input file:
```
&SYSTEM
  ibrav = 0, nat = 10, ntyp = 3
/
ATOMIC_SPECIES
Ho 164.93 Ho.upf
Cd 112.41 Cd.upf
Ru 101.07 Ru.upf
ATOMIC_POSITIONS crystal
Ho 0.000 0.000 0.000
Ho 0.000 0.000 0.207
Ho 0.000 0.000 0.418
Ho 0.000 0.000 0.582
Ho 0.000 0.000 0.793
Cd 0.500 0.500 0.103
Cd 0.500 0.500 0.309
Cd 0.500 0.500 0.691
Cd 0.500 0.500 0.897
Ru 0.500 0.500 0.500
CELL_PARAMETERS angstrom
3.532 0.000 0.000
0.000 3.532 0.000
0.000 0.000 19.654
```

Entry 5:
A geometry-optimized AcThZn structure. Source: Alexandria, functional PBE. Values from VASP.

Output
Its energy above the lowest structure with this stoichiometry is 177 meV per atom. As for the density of states at the Fermi level: 0.761 states/eV/atom.

Quantum ESPRESSO input file:
```
&SYSTEM
  ibrav = 0, nat = 3, ntyp = 3
/
ATOMIC_SPECIES
Ac 227.00 Ac.upf
Th 232.04 Th.upf
Zn 65.41 Zn.upf
ATOMIC_POSITIONS crystal
Ac 0.000 0.000 0.000
Th 0.667 0.333 0.444
Zn 0.333 0.667 0.592
CELL_PARAMETERS angstrom
5.235 0.000 0.000
-2.618 4.534 0.000
0.000 0.000 3.924
```

Entry 6:
A geometry-optimized La3YRh structure. Source: Alexandria, functional PBE. Values from VASP.

Output
Its energy above the lowest structure with this stoichiometry is 0 meV per atom. As for the density of states at the Fermi level: 2.129 states/eV/atom.

Quantum ESPRESSO input file:
```
&SYSTEM
  ibrav = 0, nat = 5, ntyp = 3
/
ATOMIC_SPECIES
La 138.91 La.upf
Y 88.91 Y.upf
Rh 102.91 Rh.upf
ATOMIC_POSITIONS crystal
La 0.000 0.000 0.500
La 0.000 0.500 0.000
La 0.500 0.000 0.000
Y 0.500 0.500 0.500
Rh 0.000 0.000 0.000
CELL_PARAMETERS angstrom
5.637 0.000 0.000
0.000 5.637 0.000
0.000 0.000 5.637
```

Entry 7:
A geometry-optimized AcSmO2 structure. Source: Alexandria, functional PBE. Values from VASP.

Output
Its energy above the lowest structure with this stoichiometry is 0 meV per atom. As for the density of states at the Fermi level: 0.183 states/eV/atom. For the formation energy without anion corrections, the calculation gives -2.69 eV/atom.

Quantum ESPRESSO input file:
```
&SYSTEM
  ibrav = 0, nat = 12, ntyp = 3
/
ATOMIC_SPECIES
Ac 227.00 Ac.upf
Sm 150.36 Sm.upf
O 16.00 O.upf
ATOMIC_POSITIONS crystal
Ac 0.000 0.000 0.000
Ac 0.333 0.667 0.667
Ac 0.667 0.333 0.333
Sm 0.000 0.000 0.500
Sm 0.333 0.667 0.167
Sm 0.667 0.333 0.833
O 0.000 0.000 0.233
O 0.000 0.000 0.767
O 0.333 0.667 0.433
O 0.333 0.667 0.900
O 0.667 0.333 0.100
O 0.667 0.333 0.567
CELL_PARAMETERS angstrom
3.632 0.000 0.000
-1.816 3.145 0.000
0.000 0.000 18.510
```

Entry 8:
A geometry-optimized SmAlAg2 structure. Source: Alexandria, functional PBE. Values from VASP.

Output
Its energy above the lowest structure with this stoichiometry is 2 meV per atom. As for the density of states at the Fermi level: 0.625 states/eV/atom.

Quantum ESPRESSO input file:
```
&SYSTEM
  ibrav = 0, nat = 16, ntyp = 3
/
ATOMIC_SPECIES
Sm 150.36 Sm.upf
Al 26.98 Al.upf
Ag 107.87 Ag.upf
ATOMIC_POSITIONS crystal
Sm 0.000 0.000 0.000
Sm 0.000 0.500 0.500
Sm 0.500 0.000 0.500
Sm 0.500 0.500 0.000
Al 0.000 0.000 0.500
Al 0.000 0.500 0.000
Al 0.500 0.000 0.000
Al 0.500 0.500 0.500
Ag 0.250 0.250 0.250
Ag 0.250 0.250 0.750
Ag 0.250 0.750 0.250
Ag 0.250 0.750 0.750
Ag 0.750 0.250 0.250
Ag 0.750 0.250 0.750
Ag 0.750 0.750 0.250
Ag 0.750 0.750 0.750
CELL_PARAMETERS angstrom
6.935 0.000 0.000
0.000 6.935 0.000
0.000 0.000 6.935
```

no.,total DFT energy (no corrections) (eV per cell),spin magnetization (μB/f.u.)
1,-75.17,2.000
2,-120.64,1.001
3,-25.03,0.815
4,-39.31,0.008
5,-12.43,0.000
6,-29.52,0.000
7,-88.48,0.000
8,-61.51,0.000